A crystal of Ir2SeCl relaxed with PBEsol. Source: Alexandria via LeMat-Bulk, functional SCAN.

abc: 2.841 5.140 5.140
angles: 113.54 104.03 104.03
Fractional coordinates of all 4 atoms:
Cl: 0.000 0.500 0.500
Ir: 0.000 0.000 0.500
Ir: 0.000 0.500 0.000
Se: 0.000 0.000 0.000

* volume: 15.43 A^3/atom
* ΔE to the lowest computed polymorph: 0.39 eV per formula unit

A crystal of Ga3WBr relaxed with PBEsol. Source: Alexandria via LeMat-Bulk, functional SCAN.

abc: 5.005 5.005 5.005
angles: 90.00 90.00 90.00
Last column: magnetic moment on the atom in μB.
Fractional coordinates of all 5 atoms:
W: 0.500 0.500 0.500  3.02
Ga: 0.000 0.500 0.000  -0.03
Ga: 0.500 0.000 0.000  -0.03
Ga: 0.000 0.000 0.500  -0.03
Br: 0.000 0.000 0.000  -0.04

* calculated total energy: -129.25 eV for the cell shown
* volume: 25.07 A^3/atom

A crystal of In2SF relaxed with PBEsol. Source: Alexandria via LeMat-Bulk, functional SCAN.

abc: 4.746 4.746 4.746
angles: 60.00 60.00 60.00
Fractional coordinates of all 4 atoms:
In: 0.750 0.750 0.750
In: 0.250 0.250 0.250
F: 0.000 0.000 0.000
S: 0.500 0.500 0.500

* calculated total energy: -83.21 eV for the cell shown
* volume: 18.90 A^3/atom

A crystal of SrSi3Tc relaxed with PBEsol. Source: Alexandria via LeMat-Bulk, functional SCAN.

abc: 4.684 4.684 4.684
angles: 90.00 90.00 90.00
Fractional coordinates of all 5 atoms:
Si: 0.000 0.000 0.500
Si: 0.000 0.500 0.000
Si: 0.500 0.000 0.000
Sr: 0.500 0.500 0.500
Tc: 0.000 0.000 0.000

* calculated total energy: -87.07 eV for the cell shown
* volume: 20.55 A^3/atom